Entry from Alexandria via LeMat-Bulk: a relaxed structure of BaCrIN2 (GGA-PBE).

The value obtained for the magnetization is 1.7 Bohr magnetons per cell. For the energy above the most stable polymorph in this dataset, the calculation gives 0.369 eV/atom. The calculation puts the uncorrected formation energy at 0.7306 eV per atom.

The space group is P4/mmm (No. 123) and the conventional cell measures 4.2187, 4.2187 and 6.3759 Å, with angles of 90.00, 90.00 and 90.00 degrees. Symmetry generates all atoms from Ba at (0.0000, 0.0000, 0.0000), Cr at (0.0000, 0.0000, 0.5000), I at (0.5000, 0.5000, 0.0000) and N at (0.0000, 0.5000, 0.5000).